No. 1
Compound: TbCdF5
Source: the Alexandria database
Functional: GGA-PBE
Structure: relaxed

```
TbCdF5
1.0
5.6205 -0.1280 1.9476
1.1274 5.5078 1.9476
-0.0877 -0.0699 7.8117
Tb Cd F
2 2 10
Cartesian
3.5539 2.4192 3.9005
3.1063 2.8906 7.8064
0.0000 0.0000 0.0000
-0.0439 -0.0350 3.9059
5.1683 3.8583 3.9540
2.5027 3.5970 5.5233
4.8689 4.1439 7.8599
4.9561 0.6603 3.9005
2.6399 3.7064 2.2778
4.0203 1.6035 9.4292
1.7041 4.6495 7.8064
1.7913 1.1660 3.8471
4.1575 1.7128 6.1837
1.4919 1.4516 7.7529
```

Values from the calculation:
- Density: 4.975 g cm⁻³
- Space-group type: C2/c (15)
- Raw formation energy: -3.2681 eV/atom
- DOS(E_F): 0.0 states/eV per cell



No. 2
Compound: TbCd3F8
Source: the Alexandria database
Functional: GGA-PBE
Structure: relaxed

```
TbCd3F8
1.0
-2.3012 -0.8530 -5.0196
-2.3075 -4.7356 1.8626
-4.5387 2.8401 1.5982
Tb Cd F
1 3 8
Cartesian
0.0000 0.0000 0.0000
-2.3044 -2.7943 -1.5785
-3.4200 0.9936 -1.7107
-3.4231 -0.9478 1.7304
-4.5556 0.8102 0.4530
-3.3990 -3.1166 0.5900
-3.3958 -1.1041 -2.9773
-6.9445 -2.0866 -1.1835
-4.5918 -3.5588 -2.0119
-5.7484 0.3681 -2.1489
-5.7516 -1.6445 1.4184
-2.2029 -0.6619 -0.3754
```

Values from the calculation:
- Density: 6.170 g cm⁻³
- Space-group type: Pm-3m (221)
- Raw formation energy: -2.6769 eV/atom
- DOS(E_F): 0.8 states/eV per cell



Question: Which formula does entry 1 have?
Answer: TbCdF5